ZrSn2HgS | Alexandria via LeMat-Bulk | PBE | optimized geometry; magnetic moment = 0.00 Bohr magnetons per cell; density of states at the Fermi level = 5.2 states/eV/cell; energy = -16.759 eV per formula unit
1.0
5.4782 0.0000 0.0000
0.0000 4.8581 0.0000
0.0000 0.0000 5.4782
Hg Zr S Sn
1 1 1 2
Direct
0.0000 0.0000 0.0000 Hg
0.5000 0.5000 0.5000 Zr
0.0000 0.5000 0.0000 S
0.5000 0.0000 0.0000 Sn
0.0000 0.0000 0.5000 Sn